(1)
Entry from Alexandria: a relaxed HoEr10Sc6 crystal (PBE-GGA).

Results
The calculation puts the final energy at -85.88 eV for the cell shown. The calculation puts the volume at 28.925 A^3/atom. As for the total moment: 0.0 μB per formula unit.

Cell: 6.567 9.298 9.298 Å, 120.00 90.00 90.00°
Sites, in units of the cell vectors:
Ho (0.500, 0.000, 0.000)
Er (0.818, 0.718, 0.718)
Er (0.818, 0.000, 0.282)
Er (0.818, 0.282, 0.000)
Er (0.182, 0.282, 0.282)
Er (0.182, 0.000, 0.718)
Er (0.182, 0.718, 0.000)
Er (0.500, 0.333, 0.667)
Er (0.500, 0.667, 0.333)
Er (0.000, 0.667, 0.333)
Er (0.000, 0.333, 0.667)
Sc (0.685, 0.371, 0.371)
Sc (0.685, 0.000, 0.629)
Sc (0.685, 0.629, 0.000)
Sc (0.315, 0.629, 0.629)
Sc (0.315, 0.000, 0.371)
Sc (0.315, 0.371, 0.000)

---

(2)
Entry from Alexandria: a relaxed NaCaPr crystal (PBE-GGA).

Results
For the excess energy over the best structure of this formula in the dataset, the calculation gives 0.000 eV/f.u. The calculation puts the volume at 38.061 A^3/atom. As for the total moment: 0.0 μB per formula unit.

Cell: 3.739 3.739 9.431 Å, 90.00 90.00 120.00°
Sites, in units of the cell vectors:
Pr (0.000, 0.000, 0.996)
Na (0.667, 0.333, 0.330)
Ca (0.333, 0.667, 0.673)

---

(3)
Entry from Alexandria: a relaxed KGePb2Au2 crystal (PBE-GGA).

Results
The calculation puts the final energy at -40.98 eV for the cell shown. The calculation puts the volume at 27.561 A^3/atom. As for the total moment: 0.0 μB per formula unit.

Cell: 4.630 8.861 8.061 Å, 90.00 90.00 90.00°
Sites, in units of the cell vectors:
K (0.000, 0.995, 0.377)
K (0.000, 0.495, 0.623)
Ge (0.500, 0.142, 0.642)
Ge (0.500, 0.642, 0.358)
Pb (0.500, 0.078, 0.020)
Pb (0.000, 0.337, 0.140)
Pb (0.500, 0.578, 0.980)
Pb (0.000, 0.837, 0.860)
Au (0.000, 0.163, 0.794)
Au (0.500, 0.330, 0.381)
Au (0.000, 0.663, 0.206)
Au (0.500, 0.830, 0.619)